# AlHg2Os

AlHg2Os after structural relaxation (PBE-GGA, the Alexandria database).

Lattice parameters (Å, degrees): 5.513 5.513 5.513 144.05 131.65 61.69
Fractional coordinates of all 4 atoms:
Os  0.471  0.471  0.000
Al  0.279  0.779  0.500
Hg  0.737  0.237  0.500
Hg  0.013  0.013  0.000

Summary:
E_tot = -3.4393 eV/atom
Formation energy from the elements = 454.7 meV per atom
Total magnetization = 0.0 μB/f.u.
Space group = Imm2 (44)
DOS at the Fermi energy = 0.3711 states/eV per atom